[1]
Here is a geometry-optimized TaCu2Cl structure from Alexandria via LeMat-Bulk. Energies are from PBE.

Cell: 3.5973 3.5973 4.6454 Å, 90.00 90.00 90.00°
With the nearest neighbours (Å) after each atom.
Space group P4/mmm (No. 123)
Symmetry-distinct sites (fractional):
Ta 0.0000 0.0000 0.0000 x1  4 Cl 2.54
Cu 0.0000 0.5000 0.5000 x2  4 Cu 2.54
Cl 0.5000 0.5000 0.0000 x1  4 Ta 2.54

Computed properties:
Crystal system: tetragonal



[2]
Here is a geometry-optimized TaTlS2N structure from Alexandria via LeMat-Bulk. Energies are from PBE.

Cell: 5.0709 5.0709 3.9421 Å, 90.00 90.00 90.00°
With the nearest neighbours (Å) after each atom.
Space group P4/mmm (No. 123)
Symmetry-distinct sites (fractional):
Ta 0.0000 0.0000 0.0000 x1  8 S 3.21, 4 N 3.59
Tl 0.5000 0.5000 0.5000 x1  2 N 1.97
S 0.0000 0.5000 0.5000 x2  2 Tl 2.54
N 0.5000 0.5000 0.0000 x1  2 Tl 1.97

Computed properties:
Crystal system: tetragonal



| no. | uncorrected formation energy (kJ/mol of formula units) | energy above the most stable polymorph in this dataset (eV per formula unit) |
| --- | --- | --- |
| 1 | 247 | 2.48 |
| 2 | 847 | 10.30 |